Record 1
# PBE MgGe2As2, relaxed
data_MgGe2As2
_cell_length_a 7.4957
_cell_length_b 7.4957
_cell_length_c 3.7302
_cell_angle_alpha 90.00
_cell_angle_beta 90.00
_cell_angle_gamma 90.00
_space_group_name_H-M_alt 'P 4/m b m'
_space_group_IT_number 127
_space_group_name_Hall '-P 4 2ab'
loop_
_atom_site_label
_atom_site_type_symbol
_atom_site_fract_x
_atom_site_fract_y
_atom_site_fract_z
Mg1 Mg 0.0000 0.0000 0.0000
Ge1 Ge 0.1393 0.3607 0.5000
As1 As 0.1823 0.6823 0.0000
# magnetic moment = 0.00 μB/f.u.
# energy of formation from the pure elements = 0.090 eV/atom
# E above lowest polymorph = 0.0 meV/atom

---

Record 2
# PBE TeAs2Cl, relaxed
data_TeAs2Cl
_cell_length_a 9.0698
_cell_length_b 3.5292
_cell_length_c 8.4969
_cell_angle_alpha 90.00
_cell_angle_beta 97.95
_cell_angle_gamma 90.00
_space_group_name_H-M_alt 'C 1 m 1'
_space_group_IT_number 8
loop_
_space_group_symop_operation_xyz
'x,y,z'
'x,-y,z'
'x+1/2,y+1/2,z'
'x+1/2,-y+1/2,z'
loop_
_atom_site_label
_atom_site_type_symbol
_atom_site_fract_x
_atom_site_fract_y
_atom_site_fract_z
Te1 Te 0.0000 0.0000 0.0000
As1 As 0.2644 0.5000 0.7899
As2 As 0.3761 0.0000 0.6329
Cl1 Cl 0.1978 0.0000 0.4221
# magnetic moment = 0.00 μB/f.u.
# uncorrected formation energy = -0.125 eV per atom
# E above lowest polymorph = 12.2 meV/atom

---

Record 3
# PBE YCd4Pt, relaxed
data_YCd4Pt
_cell_length_a 8.0161
_cell_length_b 8.0161
_cell_length_c 8.0161
_cell_angle_alpha 90.00
_cell_angle_beta 90.00
_cell_angle_gamma 90.00
_space_group_name_H-M_alt 'F -4 3 m'
_space_group_IT_number 216
_space_group_name_Hall 'F -4 2 3'
loop_
_atom_site_label
_atom_site_type_symbol
_atom_site_fract_x
_atom_site_fract_y
_atom_site_fract_z
Y1 Y 0.0000 0.0000 0.0000
Cd1 Cd 0.1245 0.1245 0.6245
Pt1 Pt 0.2500 0.2500 0.2500
# magnetic moment = 0.00 μB/f.u.
# energy of formation from the pure elements = -0.145 eV/atom

---

Record 4
# PBE CaTc2W, relaxed
data_CaTc2W
_cell_length_a 6.4417
_cell_length_b 6.4417
_cell_length_c 6.4417
_cell_angle_alpha 90.00
_cell_angle_beta 90.00
_cell_angle_gamma 90.00
_space_group_name_H-M_alt 'F m -3 m'
_space_group_IT_number 225
_space_group_name_Hall '-F 4 2 3'
loop_
_atom_site_label
_atom_site_type_symbol
_atom_site_fract_x
_atom_site_fract_y
_atom_site_fract_z
Ca1 Ca 0.0000 0.0000 0.0000
Tc1 Tc 0.2500 0.2500 0.2500
W1 W 0.0000 0.0000 0.5000
# magnetic moment = 0.00 μB/f.u.
# energy of formation from the pure elements = 0.461 eV/atom
# E above lowest polymorph = 161.4 meV/atom

---

Record 5
# PBE TlAs2S2, relaxed
data_TlAs2S2
_cell_length_a 8.7555
_cell_length_b 8.7555
_cell_length_c 3.3628
_cell_angle_alpha 90.00
_cell_angle_beta 90.00
_cell_angle_gamma 90.00
_space_group_name_H-M_alt 'P 4/m b m'
_space_group_IT_number 127
_space_group_name_Hall '-P 4 2ab'
loop_
_atom_site_label
_atom_site_type_symbol
_atom_site_fract_x
_atom_site_fract_y
_atom_site_fract_z
Tl1 Tl 0.0000 0.0000 0.0000
As1 As 0.2281 0.2719 0.0000
S1 S 0.1441 0.6441 0.5000
# magnetic moment = 0.00 μB/f.u.
# uncorrected formation energy = 0.038 eV per atom
# E above lowest polymorph = 0.0 meV/atom

---

Record 6
# PBE Cu4PAu, relaxed
data_Cu4PAu
_cell_length_a 6.9106
_cell_length_b 6.9106
_cell_length_c 6.9106
_cell_angle_alpha 90.00
_cell_angle_beta 90.00
_cell_angle_gamma 90.00
_space_group_name_H-M_alt 'F -4 3 m'
_space_group_IT_number 216
_space_group_name_Hall 'F -4 2 3'
loop_
_atom_site_label
_atom_site_type_symbol
_atom_site_fract_x
_atom_site_fract_y
_atom_site_fract_z
Cu1 Cu 0.1251 0.1251 0.1251
P1 P 0.0000 0.0000 0.5000
Au1 Au 0.2500 0.2500 0.7500
# magnetic moment = 0.00 μB/f.u.
# energy of formation from the pure elements = 0.216 eV/atom

---

Record 7
# PBE CaBPd3, relaxed
data_CaBPd3
_cell_length_a 4.5279
_cell_length_b 4.5279
_cell_length_c 8.6874
_cell_angle_alpha 90.00
_cell_angle_beta 90.00
_cell_angle_gamma 120.00
_space_group_name_H-M_alt 'P 63/m m c'
_space_group_IT_number 194
_space_group_name_Hall '-P 6c 2c'
loop_
_atom_site_label
_atom_site_type_symbol
_atom_site_fract_x
_atom_site_fract_y
_atom_site_fract_z
Ca1 Ca 0.3333 0.6667 0.2500
B1 B 0.0000 0.0000 0.0000
Pd1 Pd 0.0000 0.0000 0.2500
Pd2 Pd 0.3333 0.6667 0.5747
# magnetic moment = 0.00 μB/f.u.
# energy of formation from the pure elements = -0.115 eV/atom

---

Record 8
# PBE CoSiB3, relaxed
data_CoSiB3
_cell_length_a 3.9036
_cell_length_b 3.9036
_cell_length_c 3.9036
_cell_angle_alpha 90.00
_cell_angle_beta 90.00
_cell_angle_gamma 90.00
_space_group_name_H-M_alt 'P m -3 m'
_space_group_IT_number 221
_space_group_name_Hall '-P 4 2 3'
loop_
_atom_site_label
_atom_site_type_symbol
_atom_site_fract_x
_atom_site_fract_y
_atom_site_fract_z
Co1 Co 0.0000 0.0000 0.0000
Si1 Si 0.5000 0.5000 0.5000
B1 B 0.0000 0.5000 0.5000
# magnetic moment = 1.66 μB/f.u.
# uncorrected formation energy = 1.792 eV per atom
# E above lowest polymorph = 693.7 meV/atom

---

Record 9
# PBE CaV2Ni2, relaxed
data_CaV2Ni2
_cell_length_a 7.5538
_cell_length_b 7.5538
_cell_length_c 2.5920
_cell_angle_alpha 90.00
_cell_angle_beta 90.00
_cell_angle_gamma 90.00
_space_group_name_H-M_alt 'P 4/m b m'
_space_group_IT_number 127
_space_group_name_Hall '-P 4 2ab'
loop_
_atom_site_label
_atom_site_type_symbol
_atom_site_fract_x
_atom_site_fract_y
_atom_site_fract_z
Ca1 Ca 0.0000 0.0000 0.0000
V1 V 0.1137 0.3863 0.0000
Ni1 Ni 0.1758 0.6758 0.5000
# magnetic moment = 0.00 μB/f.u.
# energy of formation from the pure elements = 0.131 eV/atom
# E above lowest polymorph = 4.0 meV/atom

---

Record 10
# PBE ZrZnNiOs, relaxed
data_ZrZnNiOs
_cell_length_a 6.2684
_cell_length_b 6.2684
_cell_length_c 6.2684
_cell_angle_alpha 90.00
_cell_angle_beta 90.00
_cell_angle_gamma 90.00
_space_group_name_H-M_alt 'F -4 3 m'
_space_group_IT_number 216
_space_group_name_Hall 'F -4 2 3'
loop_
_atom_site_label
_atom_site_type_symbol
_atom_site_fract_x
_atom_site_fract_y
_atom_site_fract_z
Zr1 Zr 0.0000 0.0000 0.0000
Zn1 Zn 0.0000 0.0000 0.5000
Ni1 Ni 0.2500 0.2500 0.2500
Os1 Os 0.2500 0.2500 0.7500
# magnetic moment = 0.00 μB/f.u.
# energy of formation from the pure elements = -0.195 eV/atom

---

Record 11
# PBE AgSn2Pb2, relaxed
data_AgSn2Pb2
_cell_length_a 4.4272
_cell_length_b 4.4272
_cell_length_c 15.6723
_cell_angle_alpha 90.00
_cell_angle_beta 90.00
_cell_angle_gamma 90.00
_space_group_name_H-M_alt 'I 4/m m m'
_space_group_IT_number 139
_space_group_name_Hall '-I 4 2'
loop_
_atom_site_label
_atom_site_type_symbol
_atom_site_fract_x
_atom_site_fract_y
_atom_site_fract_z
Ag1 Ag 0.0000 0.0000 0.0000
Sn1 Sn 0.0000 0.0000 0.4077
Pb1 Pb 0.0000 0.5000 0.2500
# magnetic moment = 0.00 μB/f.u.
# energy of formation from the pure elements = 0.316 eV/atom
# E above lowest polymorph = 279.8 meV/atom

---

Record 12
# PBE AgAsCl2, relaxed
data_AgAsCl2
_cell_length_a 3.7957
_cell_length_b 3.7957
_cell_length_c 14.1894
_cell_angle_alpha 90.00
_cell_angle_beta 90.00
_cell_angle_gamma 90.00
_space_group_name_H-M_alt 'I -4 m 2'
_space_group_IT_number 119
_space_group_name_Hall 'I -4 -2'
loop_
_atom_site_label
_atom_site_type_symbol
_atom_site_fract_x
_atom_site_fract_y
_atom_site_fract_z
Ag1 Ag 0.0000 0.0000 0.0000
As1 As 0.0000 0.5000 0.7500
Cl1 Cl 0.0000 0.0000 0.5000
Cl2 Cl 0.0000 0.5000 0.2500
# magnetic moment = 1.00 μB/f.u.
# uncorrected formation energy = 0.120 eV per atom
# E above lowest polymorph = 408.3 meV/atom

---

no.,energy (eV/atom)
1,-3.935
2,-3.697
3,-2.839
4,-8.461
5,-3.946
6,-3.963
7,-4.966
8,-4.720
9,-6.229
10,-6.903
11,-3.339
12,-2.679